# 1
VASP calculation (GGA+U) on a relaxed structure of FeBrN2O.

Results
electronic total energy = -22.0 eV/cell

Cell: 4.1654 4.1654 3.6928 Å, 90.00 90.00 90.00°
Last column: nearest neighbours and their distance in Å.
Atoms (fractional coordinates):
Br  0.5000  0.5000  0.5000  8 N 2.78, 4 O 2.95
O  0.0000  0.0000  0.5000  2 Fe 1.85
Fe  0.0000  0.0000  0.0000  2 O 1.85
N  0.0000  0.5000  0.0000  2 Fe 2.08
N  0.5000  0.0000  0.0000  2 Fe 2.08

---

# 2
VASP calculation (GGA+U) on a relaxed structure of FeBrN2O.

Results
electronic total energy = -19.0 eV/cell

Cell: 3.9777 3.9777 3.7792 Å, 90.00 90.00 90.00°
Last column: nearest neighbours and their distance in Å.
Atoms (fractional coordinates):
N  0.5000  0.0000  0.0000  2 Br 1.99
O  0.0000  0.0000  0.5000  2 Br 1.89
Fe  0.5000  0.5000  0.5000  8 N 2.74, 4 O 2.81
Br  0.0000  0.0000  0.0000  2 O 1.89, 4 N 1.99
N  0.0000  0.5000  0.0000  2 Br 1.99

---

# 3
VASP calculation (GGA+U) on a relaxed structure of FeBrNO2.

Results
electronic total energy = -22.2 eV/cell

Cell: 3.6797 3.6797 4.5457 Å, 90.00 90.00 90.00°
Last column: nearest neighbours and their distance in Å.
Atoms (fractional coordinates):
O  0.0000  0.5000  0.0000  2 Fe 1.84
O  0.5000  0.0000  0.0000  2 Fe 1.84
Br  0.5000  0.5000  0.5000  4 N 2.60
N  0.0000  0.0000  0.5000  2 Fe 2.27
Fe  0.0000  0.0000  0.0000  4 O 1.84